<1>
## KLiHgTe (PBE)

Data for crystalline KLiHgTe at its relaxed geometry.

Computed properties:
**Magnetic moment**: 0.000 μB/atom
**ρ**: 4.992 g/cm3
**Crystal system**: tetragonal

a b c (Å): 4.8002 4.8002 10.8057
angles (deg): 90.00 90.00 90.00
Last column: nearest neighbours and their distance in Å.
Space group P4/nmm (No. 129, origin choice 2)
One atom of each set of equivalent atoms:
1 K 0.2500 0.2500 0.2360  4 Li 3.50, 4 Te 3.53, 4 Hg 3.73
2 Li 0.2500 0.7500 0.0000  4 Te 2.87
3 Hg 0.2500 0.7500 0.5000  4 Hg 3.39, 4 K 3.73
4 Te 0.2500 0.2500 0.8551  4 Li 2.87

***

<2>
## KLiHgTe (PBE)

Data for crystalline KLiHgTe at its relaxed geometry.

Computed properties:
**Magnetic moment**: 0.000 μB/atom
**ρ**: 5.183 g/cm3
**Crystal system**: cubic

a b c (Å): 7.8273 7.8273 7.8273
angles (deg): 90.00 90.00 90.00
Last column: nearest neighbours and their distance in Å.
Space group F-43m (No. 216)
One atom of each set of equivalent atoms:
1 K 0.0000 0.0000 0.0000  4 Hg 3.39, 4 Te 3.39
2 Li 0.0000 0.0000 0.5000  4 Te 3.39, 4 Hg 3.39
3 Hg 0.2500 0.2500 0.7500  4 K 3.39, 4 Li 3.39
4 Te 0.2500 0.2500 0.2500  4 K 3.39, 4 Li 3.39

***

Most stable: <1>

***

<1>
## KLiTlHg (PBE)

Data for crystalline KLiTlHg at its relaxed geometry.

Computed properties:
**Magnetic moment**: 0.000 μB/atom
**ρ**: 6.567 g/cm3
**Crystal system**: cubic

a b c (Å): 7.6978 7.6978 7.6978
angles (deg): 90.00 90.00 90.00
Last column: nearest neighbours and their distance in Å.
Space group F-43m (No. 216)
One atom of each set of equivalent atoms:
1 K 0.0000 0.0000 0.0000  4 Hg 3.33, 4 Li 3.33
2 Li 0.2500 0.2500 0.2500  4 Tl 3.33, 4 K 3.33
3 Tl 0.0000 0.0000 0.5000  4 Li 3.33, 4 Hg 3.33
4 Hg 0.2500 0.2500 0.7500  4 Tl 3.33, 4 K 3.33

***

<2>
## KLiTlHg (PBE)

Data for crystalline KLiTlHg at its relaxed geometry.

Computed properties:
**Magnetic moment**: 0.000 μB/atom
**ρ**: 6.812 g/cm3
**Crystal system**: tetragonal

a b c (Å): 3.5736 3.5736 8.6087
angles (deg): 90.00 90.00 90.00
Last column: nearest neighbours and their distance in Å.
Space group P4mm (No. 99)
One atom of each set of equivalent atoms:
1 K 0.0000 0.0000 0.0000  4 K 3.57, 4 Hg 3.64, 4 Tl 3.74
2 Li 0.0000 0.0000 0.4688  4 Hg 2.90, 4 Tl 3.11
3 Tl 0.5000 0.5000 0.6795  4 Li 3.11, 1 Hg 3.23
4 Hg 0.5000 0.5000 0.3040  4 Li 2.90, 1 Tl 3.23

***

Most stable: <2>